DFT (PBE) results for crystalline TmThAl2Au2 at its relaxed geometry.

Uncorrected energy = -0.184 hartree per atom
Calculated formation energy = -0.694 eV/atom
Space group = P-3m1
D(E_F) = 0.590 states/eV per atom

CIF file:
```
data_TmThAl2Au2
_chemical_formula_sum 'Tm1 Th1 Al2 Au2'
_symmetry_space_group_name_H-M 'P 1'
_symmetry_Int_Tables_number 1
_cell_length_a 4.5191
_cell_length_b 4.5191
_cell_length_c 7.4583
_cell_angle_alpha 90.00
_cell_angle_beta 90.00
_cell_angle_gamma 120.00
loop_
_symmetry_equiv_pos_as_xyz
'x,y,z'
loop_
_atom_site_label
_atom_site_type_symbol
_atom_site_fract_x
_atom_site_fract_y
_atom_site_fract_z
Tm1 Tm 0.0000 0.0000 0.0000
Th1 Th 0.0000 0.0000 0.5000
Al1 Al 0.3333 0.6667 0.2306
Al2 Al 0.6667 0.3333 0.7694
Au1 Au 0.3333 0.6667 0.7768
Au2 Au 0.6667 0.3333 0.2232
```